Record 1
Material: CsTcH2F8
Method: DFT, PBE-GGA
State: optimized geometry

Lattice parameters (Å, degrees): 5.0686 5.0418 8.4727 76.54 91.10 70.67
Each line ends with the local moment (μB).
Atoms (fractional coordinates):
Cs1 0.0000 0.0000 0.5000  0.00
Tc1 0.0000 0.0000 0.0000  1.56
H1 0.4991 0.3049 0.7088  0.00
H2 0.5009 0.6951 0.2912  0.00
F1 0.2384 0.7220 0.1960  0.06
F2 0.7749 0.7707 0.0061  0.05
F3 0.7746 0.1971 0.1400  0.05
F4 0.7616 0.2780 0.8040  0.06
F5 0.2251 0.2293 0.9939  0.05
F6 0.2254 0.8029 0.8600  0.05
F7 0.6441 0.6759 0.3768  0.00
F8 0.3559 0.3241 0.6232  0.00

Computed properties:
DOS at the Fermi energy, states/eV/cell: 4.11
Energy, eV per atom: -4.83
Symmetry: P-1
Spin magnetization, μB per formula unit: 2.00

Record 2
Material: CsTcH3F
Method: DFT, PBE-GGA
State: optimized geometry

Lattice parameters (Å, degrees): 3.4440 3.4580 7.6862 90.33 90.13 119.38
Each line ends with the local moment (μB).
Atoms (fractional coordinates):
Cs1 0.6304 0.2186 0.3486  0.00
Tc1 0.9672 0.8838 0.8209  1.57
H1 0.9694 0.8876 0.6029  -0.01
H2 0.2628 0.5041 0.8212  -0.02
H3 0.5965 0.1645 0.8176  -0.02
F1 0.9612 0.8760 0.1036  0.03

Computed properties:
Relative energy among the computed polymorphs, meV per atom: 74
DOS at the Fermi energy, states/eV/cell: 1.64
Energy, eV per atom: -4.25
Symmetry: P1
Spin magnetization, μB per formula unit: 1.64

Record 3
Material: Cs2TeHF6
Method: DFT, PBE-GGA
State: optimized geometry

Lattice parameters (Å, degrees): 6.7622 6.7622 6.7689 60.03 60.03 90.00
Each line ends with the local moment (μB).
Atoms (fractional coordinates):
Cs1 0.7500 0.2500 0.5000  0.00
Cs2 0.2500 0.7500 0.5000  0.00
H1 0.5000 0.5000 0.0000  0.38
Te1 0.0000 0.0000 0.0000  0.01
F1 0.2187 0.2187 0.5627  0.01
F2 0.7813 0.7813 0.4373  0.01
F3 0.2191 0.2191 0.0000  0.01
F4 0.7809 0.7809 0.0000  0.01
F5 0.7809 0.2191 0.0000  0.01
F6 0.2191 0.7809 0.0000  0.01

Computed properties:
DOS at the Fermi energy, states/eV/cell: 0.00
Energy, eV per atom: -3.96
Symmetry: I4/mmm
Spin magnetization, μB per formula unit: 1.00

Record 4
Material: Cs2TiHF6
Method: DFT, PBE-GGA
State: optimized geometry

Lattice parameters (Å, degrees): 6.5480 6.5480 6.5590 60.06 60.06 90.00
Each line ends with the local moment (μB).
Atoms (fractional coordinates):
Cs1 0.7500 0.2500 0.5000  0.00
Cs2 0.2500 0.7500 0.5000  0.00
H1 0.5000 0.5000 0.0000  0.38
F1 0.2040 0.2040 0.5920  0.01
F2 0.7960 0.7960 0.4080  0.01
F3 0.2047 0.2047 0.0000  0.01
F4 0.7953 0.7953 0.0000  0.01
F5 0.7953 0.2047 0.0000  0.01
F6 0.2047 0.7953 0.0000  0.01
Ti1 0.0000 0.0000 0.0000  0.01

Computed properties:
DOS at the Fermi energy, states/eV/cell: 0.00
Energy, eV per atom: -5.14
Symmetry: I4/mmm
Spin magnetization, μB per formula unit: 1.00

Record 5
Material: Cs2TmHF6
Method: DFT, PBE-GGA
State: optimized geometry

Lattice parameters (Å, degrees): 6.2446 6.2432 7.3437 54.09 54.08 67.68
Each line ends with the local moment (μB).
Atoms (fractional coordinates):
Cs1 0.7499 0.2499 0.5002  0.00
Cs2 0.2501 0.7501 0.4998  0.00
Tm1 0.0000 0.0000 0.0000  0.01
H1 0.5000 0.5000 0.0000  0.00
F1 0.2028 0.2028 0.5943  0.06
F2 0.7967 0.7966 0.0001  0.06
F3 0.3312 0.6689 0.0000  0.00
F4 0.6688 0.3311 0.0000  0.00
F5 0.2033 0.2034 0.9999  0.06
F6 0.7972 0.7972 0.4057  0.06

Computed properties:
DOS at the Fermi energy, states/eV/cell: 0.00
Energy, eV per atom: -5.13
Symmetry: Fmmm
Spin magnetization, μB per formula unit: 0.26

Record 6
Material: CsUH2F8
Method: DFT, PBE-GGA
State: optimized geometry

Lattice parameters (Å, degrees): 5.8058 5.8058 8.1694 90.00 90.00 120.00
Each line ends with the local moment (μB).
Atoms (fractional coordinates):
Cs1 0.0000 0.0000 0.5000  0.00
U1 0.0000 0.0000 0.0000  1.07
H1 0.6667 0.3333 0.2778  0.00
H2 0.3333 0.6667 0.7222  0.00
F1 0.8370 0.6741 0.8421  -0.02
F2 0.3259 0.1630 0.8421  -0.02
F3 0.8370 0.1630 0.8421  -0.02
F4 0.1630 0.3259 0.1579  -0.02
F5 0.6741 0.8370 0.1579  -0.02
F6 0.1630 0.8370 0.1579  -0.02
F7 0.6667 0.3333 0.3933  0.00
F8 0.3333 0.6667 0.6067  0.00

Computed properties:
Energy, eV per atom: -5.58
Symmetry: P-3m1
Spin magnetization, μB per formula unit: 1.00

The highest energy belongs to which entry? Cs2TeHF6

Repeat the fourth record exactly.
Material: Cs2TiHF6
Method: DFT, PBE-GGA
State: optimized geometry

Lattice parameters (Å, degrees): 6.5480 6.5480 6.5590 60.06 60.06 90.00
Each line ends with the local moment (μB).
Atoms (fractional coordinates):
Cs1 0.7500 0.2500 0.5000  0.00
Cs2 0.2500 0.7500 0.5000  0.00
H1 0.5000 0.5000 0.0000  0.38
F1 0.2040 0.2040 0.5920  0.01
F2 0.7960 0.7960 0.4080  0.01
F3 0.2047 0.2047 0.0000  0.01
F4 0.7953 0.7953 0.0000  0.01
F5 0.7953 0.2047 0.0000  0.01
F6 0.2047 0.7953 0.0000  0.01
Ti1 0.0000 0.0000 0.0000  0.01

Computed properties:
DOS at the Fermi energy, states/eV/cell: 0.00
Energy, eV per atom: -5.14
Symmetry: I4/mmm
Spin magnetization, μB per formula unit: 1.00

Among the records above, which one has the lowest energy? CsUH2F8

Among the records above, which one has the highest spin magnetization? CsTcH2F8